TlV2GaO8: optimized geometry, PBE+U.

Unit cell a=5.6787 b=5.6787 c=6.0227 alpha=90.00 beta=90.00 gamma=120.00
Positions (direct):
O  0.8431  0.6859  0.2898
Ga  0.0000  0.0000  0.5000
O  0.6859  0.8428  0.7102
O  0.8428  0.1569  0.2898
V  0.6667  0.3333  0.2113
V  0.3333  0.6667  0.7887
O  0.3333  0.6667  0.0594
O  0.6667  0.3333  0.9406
O  0.1572  0.8431  0.7102
O  0.1569  0.3141  0.7102
Tl  0.0000  0.0000  0.0000
O  0.3141  0.1572  0.2898

**VASP energy**: -6.51 eV per atom
**DOS(E_F)**: 0.00 states/eV per cell
**ρ**: 5.0 g/cm3
**SG**: P-3m1 (164)